[1]
4
Lattice="0.000 3.313 3.313 3.313 0.000 3.313 3.313 3.313 0.000" Properties=species:S:1:pos:R:3 comment="KTa2Rh (PBE, optimized geometry)" density_g_cm3=11.51 total_energy_ev_per_atom=-6.914 n_ef_per_ev_atom=1.1326 polymorph_energy_mev_per_atom=827.7 formation_enthalpy_0k_ev_per_fu=4.5 pbc="T T T"
K 0.000 0.000 0.000
Rh 3.313 3.313 3.313
Ta 1.656 1.656 1.656
Ta 4.969 4.969 4.969

[2]
10
Lattice="7.656 0.000 0.000 0.000 7.656 0.000 0.000 0.000 3.421" Properties=species:S:1:pos:R:3 comment="MgZr2Se2 (PBE, optimized geometry)" density_g_cm3=6.04 total_energy_ev_per_atom=-5.916 n_ef_per_ev_atom=0.6062 polymorph_energy_mev_per_atom=0.0 pbc="T T T"
Mg 0.000 0.000 0.000
Mg 3.828 3.828 0.000
Se 2.735 6.563 0.000
Se 6.563 4.921 0.000
Se 4.921 1.093 0.000
Se 1.093 2.735 0.000
Zr 1.170 4.998 1.711
Zr 4.998 6.486 1.711
Zr 6.486 2.658 1.711
Zr 2.658 1.170 1.711

[3]
4
Lattice="3.452 0.000 0.000 1.726 2.989 0.000 1.726 0.996 11.370" Properties=species:S:1:pos:R:3 comment="GdHfBi2 (PBE, optimized geometry)" density_g_cm3=10.67 total_energy_ev_per_atom=-7.939 n_ef_per_ev_atom=1.0825 polymorph_energy_mev_per_atom=321.5 formation_enthalpy_0k_ev_per_fu=0.0 pbc="T T T"
Gd 0.000 0.000 0.000
Hf 3.452 1.993 5.685
Bi 1.726 0.996 8.102
Bi 5.178 2.989 3.268

[4]
10
Lattice="-3.148 7.685 0.410 -3.094 -0.858 -7.670 -7.361 1.574 -1.713" Properties=species:S:1:pos:R:3 comment="Cs2ScSeCl6 (PBE, optimized geometry)" density_g_cm3=2.89 total_energy_ev_per_atom=-3.814 n_ef_per_ev_atom=1.2013 pbc="T T T"
Cs -6.815 6.336 -2.466
Cs -6.788 2.065 -6.506
Sc -3.121 3.414 -3.630
Se 0.000 0.000 0.000
Cl -5.322 2.459 -2.635
Cl -8.281 5.943 -6.338
Cl -1.814 1.984 -2.109
Cl -4.428 4.843 -5.150
Cl -3.132 5.203 -1.937
Cl -3.110 1.624 -5.322